Here is a geometry-optimized Ta9Co2S6 structure from Alexandria. Energies are from PBE.

Calculated values
As for the offset from the most stable computed form: 0.0000 eV/atom. Its space group is No. 189. The density of states at the Fermi level comes out at 19.14 states/eV per cell. The formation energy (no corrections) comes out at -757 meV per atom. Its total magnetic moment is 0.0 μB/cell. For the raw total energy, the calculation gives -317.03 eV/cell.

Lattice parameters (Å, degrees): 10.355 10.355 6.608 90.00 90.00 120.00
Positions (direct):
Ta (0.000, 0.457, 0.249)
Ta (0.000, 0.457, 0.751)
Ta (0.192, 0.740, 0.500)
Ta (0.212, 0.740, 0.000)
Ta (0.260, 0.452, 0.500)
Ta (0.260, 0.471, 0.000)
Ta (0.452, 0.260, 0.500)
Ta (0.457, 0.000, 0.249)
Ta (0.457, 0.000, 0.751)
Ta (0.471, 0.260, 0.000)
Ta (0.529, 0.788, 0.000)
Ta (0.543, 0.543, 0.249)
Ta (0.543, 0.543, 0.751)
Ta (0.548, 0.808, 0.500)
Ta (0.740, 0.192, 0.500)
Ta (0.740, 0.212, 0.000)
Ta (0.788, 0.529, 0.000)
Ta (0.808, 0.548, 0.500)
Co (0.333, 0.667, 0.279)
Co (0.333, 0.667, 0.721)
Co (0.667, 0.333, 0.279)
Co (0.667, 0.333, 0.721)
S (0.000, 0.273, 0.500)
S (0.000, 0.275, 0.000)
S (0.000, 0.703, 0.238)
S (0.000, 0.703, 0.762)
S (0.273, 0.000, 0.500)
S (0.275, 0.000, 0.000)
S (0.297, 0.297, 0.238)
S (0.297, 0.297, 0.762)
S (0.703, 0.000, 0.238)
S (0.703, 0.000, 0.762)
S (0.725, 0.725, 0.000)
S (0.727, 0.727, 0.500)